DFT (PBE) results for crystalline Ti2FeSe at its relaxed geometry.

```
data_Ti2FeSe
_cell_length_a 6.694
_cell_length_b 6.694
_cell_length_c 5.579
_cell_angle_alpha 90.00
_cell_angle_beta 90.00
_cell_angle_gamma 90.00
_space_group_name_H-M_alt 'I -4 2 d'
_space_group_IT_number 122
_space_group_name_Hall 'I -4 2bw'
loop_
_atom_site_label
_atom_site_fract_x
_atom_site_fract_y
_atom_site_fract_z
Ti1 0.223 0.250 0.125
Fe1 0.000 0.000 0.000
Se1 0.000 0.000 0.500
```

Summary:
Total energy ... -7.0470 eV per atom
M_tot ... 0.000 Bohr magnetons per cell